Ba5Rh: optimized geometry, GGA-PBE.

ρ, g/cm³: 4.3
Energy relative to the lowest polymorph listed for this composition, meV/atom: 0
Calculated volume, Å³ per atom: 51.23

Cell lengths 4.5972, 10.6878, 12.5109 Å; angles 90.00, 90.01, 90.00 degrees
Fractional coordinates of all 12 atoms:
Ba (0.5008, 0.6900, 0.0927)
Ba (0.4992, 0.6900, 0.4073)
Ba (0.5008, 0.3100, 0.5927)
Ba (0.0000, 0.6274, 0.7500)
Ba (0.4992, 0.3100, 0.9073)
Ba (0.0000, 0.0000, 0.0000)
Ba (0.0000, 0.0000, 0.5000)
Ba (0.5000, 0.9752, 0.7500)
Ba (0.0000, 0.3726, 0.2500)
Ba (0.5000, 0.0248, 0.2500)
Rh (0.0000, 0.1716, 0.7500)
Rh (0.0000, 0.8284, 0.2500)

=====

Ba2Rh: optimized geometry, GGA-PBE.

E_tot, eV for the cell shown: -23.15
ρ, g/cm³: 5.0
Calculated volume, Å³ per atom: 41.87

Cell lengths 4.6868, 7.2689, 7.3736 Å; angles 90.00, 90.00, 90.00 degrees
Fractional coordinates of all 6 atoms:
Ba (0.0000, 0.7261, 0.3323)
Ba (0.5000, 0.2261, 0.1677)
Ba (0.0000, 0.2739, 0.6677)
Ba (0.5000, 0.7739, 0.8323)
Rh (0.5000, 0.5000, 0.5000)
Rh (0.0000, 0.0000, 0.0000)

=====

BaRh: optimized geometry, GGA-PBE.

E_tot, eV for the cell shown: -27.51
ρ, g/cm³: 6.3
Calculated volume, Å³ per atom: 31.46

Cell lengths 6.4327, 6.4327, 7.7786 Å; angles 79.54, 79.54, 36.70 degrees
Fractional coordinates of all 6 atoms:
Ba (0.5966, 0.5966, 0.6865)
Ba (0.6708, 0.6708, 0.1038)
Ba (0.3814, 0.3814, 0.3829)
Rh (0.9584, 0.9584, 0.0305)
Rh (0.8598, 0.8598, 0.7142)
Rh (0.3663, 0.3663, 0.9154)

=====

Ba4Rh: optimized geometry, GGA-PBE.

ρ, g/cm³: 4.5
Energy relative to the lowest polymorph listed for this composition, meV/atom: 114
Calculated volume, Å³ per atom: 47.79

Cell lengths 7.9641, 7.9641, 7.9641 Å; angles 93.66, 93.66, 150.73 degrees
Fractional coordinates of all 5 atoms:
Ba (0.2641, 0.5540, 0.8181)
Ba (0.7359, 0.4460, 0.1819)
Ba (0.4460, 0.2641, 0.7100)
Ba (0.5540, 0.7359, 0.2900)
Rh (0.0000, 0.0000, 0.0000)

=====

BaRh: optimized geometry, GGA-PBE.

E_tot, eV for the cell shown: -17.98
ρ, g/cm³: 5.5
Calculated volume, Å³ per atom: 36.36

Cell lengths 4.2133, 4.2133, 9.4613 Å; angles 90.00, 90.00, 120.00 degrees
Fractional coordinates of all 4 atoms:
Ba (0.3333, 0.6667, 0.2202)
Ba (0.6667, 0.3333, 0.7798)
Rh (0.3333, 0.6667, 0.5333)
Rh (0.6667, 0.3333, 0.4667)

=====

BaRh2: optimized geometry, GGA-PBE.

E_tot, eV for the cell shown: -33.74
ρ, g/cm³: 9.0
Calculated volume, Å³ per atom: 21.00

Cell lengths 5.6273, 5.6273, 5.6273 Å; angles 60.00, 60.00, 60.00 degrees
Fractional coordinates of all 6 atoms:
Rh (0.5000, 0.5000, 0.0000)
Rh (0.0000, 0.5000, 0.0000)
Rh (0.5000, 0.0000, 0.0000)
Rh (0.5000, 0.5000, 0.5000)
Ba (0.1250, 0.1250, 0.6250)
Ba (0.8750, 0.8750, 0.3750)

=====

BaRh: optimized geometry, GGA-PBE.

E_tot, eV for the cell shown: -8.01
ρ, g/cm³: 5.6
Calculated volume, Å³ per atom: 35.46

Cell lengths 4.6462, 4.6462, 4.6462 Å; angles 60.00, 60.00, 60.00 degrees
Fractional coordinates of all 2 atoms:
Rh (0.2500, 0.2500, 0.2500)
Ba (0.0000, 0.0000, 0.0000)

=====

Ba2Rh: optimized geometry, GGA-PBE.

E_tot, eV for the cell shown: -34.46
ρ, g/cm³: 6.0
Calculated volume, Å³ per atom: 34.60

Cell lengths 8.4075, 8.4075, 5.0875 Å; angles 90.00, 90.00, 120.00 degrees
Fractional coordinates of all 9 atoms:
Ba (0.4083, 0.4083, 0.5000)
Ba (0.2647, 0.0000, 0.0000)
Ba (0.0000, 0.2647, 0.0000)
Ba (0.5917, 0.0000, 0.5000)
Ba (0.0000, 0.5917, 0.5000)
Ba (0.7353, 0.7353, 0.0000)
Rh (0.6667, 0.3333, 0.0000)
Rh (0.3333, 0.6667, 0.0000)
Rh (0.0000, 0.0000, 0.5000)

=====

BaRh: optimized geometry, GGA-PBE.

E_tot, eV for the cell shown: -46.91
ρ, g/cm³: 4.5
Calculated volume, Å³ per atom: 44.40

Cell lengths 8.1072, 8.1072, 8.1072 Å; angles 90.00, 90.00, 90.00 degrees
Fractional coordinates of all 12 atoms:
Rh (0.5000, 0.2500, 0.0000)
Rh (0.7500, 0.0000, 0.5000)
Rh (0.2500, 0.0000, 0.5000)
Rh (0.5000, 0.7500, 0.0000)
Rh (0.0000, 0.5000, 0.7500)
Rh (0.0000, 0.5000, 0.2500)
Ba (0.7500, 0.5000, 0.0000)
Ba (0.5000, 0.0000, 0.7500)
Ba (0.2500, 0.5000, 0.0000)
Ba (0.5000, 0.0000, 0.2500)
Ba (0.0000, 0.7500, 0.5000)
Ba (0.0000, 0.2500, 0.5000)

=====

Ba2Rh: optimized geometry, GGA-PBE.

E_tot, eV for the cell shown: -23.28
ρ, g/cm³: 5.0
Calculated volume, Å³ per atom: 41.75

Cell lengths 7.8543, 7.8543, 8.6274 Å; angles 63.48, 63.48, 32.11 degrees
Fractional coordinates of all 6 atoms:
Ba (0.3735, 0.3735, 0.1811)
Ba (0.9042, 0.9042, 0.7634)
Ba (0.6184, 0.6184, 0.2172)
Ba (0.6594, 0.6594, 0.7272)
Rh (0.2347, 0.2347, 0.9486)
Rh (0.0431, 0.0431, 0.9958)

=====

BaRh2: optimized geometry, GGA-PBE.

E_tot, eV for the cell shown: -32.21
ρ, g/cm³: 7.4
Calculated volume, Å³ per atom: 25.80

Cell lengths 9.4558, 9.4558, 4.1404 Å; angles 90.00, 90.00, 155.28 degrees
Fractional coordinates of all 6 atoms:
Rh (0.8395, 0.1605, 0.7500)
Rh (0.2499, 0.7501, 0.7500)
Rh (0.1605, 0.8395, 0.2500)
Rh (0.7501, 0.2499, 0.2500)
Ba (0.5996, 0.4004, 0.7500)
Ba (0.4004, 0.5996, 0.2500)

=====

Ba4Rh: optimized geometry, GGA-PBE.

ρ, g/cm³: 4.6
Energy relative to the lowest polymorph listed for this composition, meV/atom: 723
Calculated volume, Å³ per atom: 46.78

Cell lengths 11.7979, 11.7979, 11.7979 Å; angles 157.82, 157.82, 31.57 degrees
Fractional coordinates of all 5 atoms:
Rh (0.0000, 0.0000, 0.0000)
Ba (0.5764, 0.5764, 0.0000)
Ba (0.2500, 0.7500, 0.5000)
Ba (0.7500, 0.2500, 0.5000)
Ba (0.4236, 0.4236, 0.0000)